Ce3PuSe6 after structural relaxation. Source: the Alexandria database, functional PBE.

Unit cell a=13.2126 b=7.6953 c=7.3794 alpha=90.00 beta=123.69 gamma=90.00
Space group C2/m (No. 12)
Unique sites:
Ce  0.0000  0.0000  0.0000 x2
Ce  0.2500  0.0000  0.6983 x4
Pu  0.0000  0.5000  0.5000 x2
Se  0.0892  0.2502  0.3408 x8
Se  0.2494  0.5000  0.9044 x4

Properties
- ρ (g/cm3) = 6.054
- ΔE_f (raw) (eV per formula unit) = -15.7
- VASP energy (eV/f.u.) = -68.73
- Fermi-level density of states (states/eV/cell) = 65.96
- magnetization (μB per formula unit) = 8.00

---

Ce2PuSe3 after structural relaxation. Source: the Alexandria database, functional PBE.

Unit cell a=4.1739 b=5.9242 c=12.6044 alpha=90.00 beta=90.00 gamma=90.00
Space group Immm (No. 71)
Unique sites:
Ce  0.0000  0.0000  0.1676 x4
Pu  0.0000  0.0000  0.5000 x2
Se  0.0000  0.5000  0.1630 x4
Se  0.0000  0.5000  0.5000 x2

Properties
- ρ (g/cm3) = 8.110
- ΔE_f (raw) (eV per formula unit) = -10.3
- VASP energy (eV/f.u.) = -46.99
- Fermi-level density of states (states/eV/cell) = 38.13
- magnetization (μB per formula unit) = 7.85

---

Ce4PuSe5 after structural relaxation. Source: the Alexandria database, functional PBE.

Unit cell a=9.3657 b=9.3657 c=5.9310 alpha=90.00 beta=90.00 gamma=90.00
Space group I4/m (No. 87)
Unique sites:
Ce  0.0992  0.6994  0.0000 x8
Pu  0.0000  0.0000  0.5000 x2
Se  0.0000  0.0000  0.0000 x2
Se  0.0992  0.7035  0.5000 x8

Properties
- ρ (g/cm3) = 7.656
- ΔE_f (raw) (eV per formula unit) = -17.6
- VASP energy (eV/f.u.) = -73.08
- Fermi-level density of states (states/eV/cell) = 63.60
- magnetization (μB per formula unit) = 9.38

---

CePuSe3 after structural relaxation. Source: the Alexandria database, functional PBE.

Unit cell a=7.7382 b=4.1754 c=15.8962 alpha=90.00 beta=90.00 gamma=90.00
Space group Pnma (No. 62)
Unique sites:
Ce  0.1318  0.2500  0.2056 x4
Pu  0.2324  0.7500  0.4601 x4
Se  0.0077  0.2500  0.3920 x4
Se  0.1269  0.7500  0.0672 x4
Se  0.1538  0.2500  0.7814 x4

Properties
- ρ (g/cm3) = 8.031
- ΔE_f (raw) (eV per formula unit) = -8.4
- VASP energy (eV/f.u.) = -39.11
- Fermi-level density of states (states/eV/cell) = 55.71
- magnetization (μB per formula unit) = 6.00

---

CePu3Se4 after structural relaxation. Source: the Alexandria database, functional PBE.

Unit cell a=5.8935 b=5.8935 c=5.8935 alpha=90.00 beta=90.00 gamma=90.00
Space group Pm-3m (No. 221)
Unique sites:
Ce  0.0000  0.0000  0.0000 x1
Pu  0.0000  0.5000  0.5000 x3
Se  0.0000  0.0000  0.5000 x3
Se  0.5000  0.5000  0.5000 x1

Properties
- ρ (g/cm3) = 9.637
- ΔE_f (raw) (eV per formula unit) = -12.8
- VASP energy (eV/f.u.) = -75.66
- Fermi-level density of states (states/eV/cell) = 33.57
- magnetization (μB per formula unit) = 18.16

---

Ce2PuSe6 after structural relaxation. Source: the Alexandria database, functional PBE.

Unit cell a=6.6263 b=6.6263 c=13.0980 alpha=90.00 beta=90.00 gamma=90.00
Space group P4_2/mnm (No. 136)
Unique sites:
Ce  0.0000  0.0000  0.1666 x4
Pu  0.0000  0.0000  0.5000 x2
Se  0.1931  0.1931  0.3353 x8
Se  0.1964  0.1964  0.0000 x4

Properties
- ρ (g/cm3) = 5.763
- ΔE_f (raw) (eV per formula unit) = -12.1
- VASP energy (eV/f.u.) = -59.18
- Fermi-level density of states (states/eV/cell) = 26.31
- magnetization (μB per formula unit) = 4.15